Record 1
## TePtN2F (SCAN)

Data for a crystal of TePtN2F relaxed with PBEsol.

Energy relative to the elements, uncorrected   1.33 eV/atom
E_tot   -122.9 eV/cell
D(E_F)   3.10 states/eV/f.u.

Cell lengths 4.096, 4.096, 4.013 Å; angles 90.00, 90.00, 90.00 degrees
Space group P4/mmm (No. 123)
Unique sites:
Te1 0.000 0.000 0.000 x1
Pt1 0.500 0.500 0.500 x1
N1 0.000 0.500 0.000 x2
F1 0.000 0.000 0.500 x1



Record 2
## TiPtNF2 (SCAN)

Data for a crystal of TiPtNF2 relaxed with PBEsol.

Energy relative to the elements, uncorrected   -1.08 eV/atom
E_tot   -108.0 eV/cell
D(E_F)   2.48 states/eV/f.u.

Cell lengths 3.774, 3.774, 4.134 Å; angles 90.00, 90.00, 90.00 degrees
Space group P4/mmm (No. 123)
Unique sites:
Ti1 0.000 0.000 0.000 x1
Pt1 0.500 0.500 0.500 x1
N1 0.000 0.000 0.500 x1
F1 0.000 0.500 0.000 x2



no.,M_tot (μB per formula unit)
1,0.001
2,0.002